No. 1
The following is a PBE calculation of KSiTe2 after structural relaxation, from Alexandria via LeMat-Bulk.

Cell and atoms, written as POSCAR:
```
KSiTe2
1.0
-1.884 3.271 5.242
1.884 -3.271 5.242
1.884 3.271 -5.242
K Si Te
1 1 2
Direct
0.000 0.000 0.000
0.500 0.500 0.000
0.321 0.821 0.500
0.679 0.179 0.500
```

Calculated volume = 32.311 Å³/atom
SG = Immm, No. 71
Raw formation energy = -144 meV per atom


No. 2
The following is a PBE calculation of FeBiSeBr2 after structural relaxation, from Alexandria via LeMat-Bulk.

Cell and atoms, written as POSCAR:
```
FeBiSeBr2
1.0
4.857 0.000 0.000
0.000 4.857 0.000
0.000 0.000 4.848
Fe Bi Se Br
1 1 1 2
Direct
0.000 0.000 0.000
0.500 0.500 0.500
0.000 0.000 0.500
0.000 0.500 0.000
0.500 0.000 0.000
```

Calculated volume = 22.870 Å³/atom
E above lowest polymorph = 0.00 eV per formula unit
SG = P4/mmm, No. 123
Raw formation energy = 169 meV per atom


No. 3
The following is a PBE calculation of Sm2GePt after structural relaxation, from Alexandria via LeMat-Bulk.

Cell and atoms, written as POSCAR:
```
Sm2GePt
1.0
3.552 0.000 0.000
0.000 3.552 0.000
0.000 0.000 7.441
Sm Ge Pt
2 1 1
Direct
0.000 0.000 0.242
0.000 0.000 0.758
0.500 0.500 0.500
0.500 0.500 0.000
```

Calculated volume = 23.467 Å³/atom
SG = P4/mmm, No. 123
ΔE_f = -20.3 kcal/mol of atoms


No. 4
The following is a PBE calculation of CsSm2W2N6 after structural relaxation, from Alexandria via LeMat-Bulk.

Cell and atoms, written as POSCAR:
```
CsSm2W2N6
1.0
5.954 -3.391 0.000
5.954 3.391 0.000
-3.855 0.000 6.057
Cs Sm W N
1 2 2 6
Direct
0.000 0.000 0.000
0.325 0.325 0.713
0.675 0.675 0.287
0.378 0.378 0.309
0.622 0.622 0.691
0.086 0.522 0.355
0.422 0.422 0.096
0.478 0.914 0.645
0.522 0.086 0.355
0.578 0.578 0.904
0.914 0.478 0.645
```

Calculated volume = 22.232 Å³/atom
SG = C2/m, No. 12
Raw formation energy = -569 meV per atom


No. 5
The following is a PBE calculation of Rb2Na6Hg9 after structural relaxation, from Alexandria via LeMat-Bulk.

Cell and atoms, written as POSCAR:
```
Rb2Na6Hg9
1.0
6.524 0.000 0.000
-3.262 5.650 0.000
0.000 0.000 15.679
Rb Na Hg
2 6 9
Direct
0.000 0.000 0.181
0.000 0.000 0.819
0.333 0.667 0.165
0.333 0.667 0.500
0.333 0.667 0.835
0.667 0.333 0.165
0.667 0.333 0.500
0.667 0.333 0.835
0.000 0.500 0.000
0.000 0.500 0.332
0.000 0.500 0.668
0.500 0.000 0.000
0.500 0.000 0.332
0.500 0.000 0.668
0.500 0.500 0.000
0.500 0.500 0.332
0.500 0.500 0.668
```

Calculated volume = 33.991 Å³/atom
SG = P6/mmm, No. 191
ΔE_f = -3.7 kcal/mol of atoms


No. 6
The following is a PBE calculation of RbBPd2 after structural relaxation, from Alexandria via LeMat-Bulk.

Cell and atoms, written as POSCAR:
```
RbBPd2
1.0
-2.828 2.828 5.989
2.828 -2.828 5.989
2.828 2.828 -5.989
Rb B Pd
2 2 4
Direct
0.000 0.000 0.000
0.750 0.250 0.500
0.250 0.750 0.500
0.500 0.500 0.000
0.374 0.625 0.249
0.375 0.624 0.749
0.376 0.125 0.751
0.875 0.626 0.251
```

Calculated volume = 23.950 Å³/atom
SG = I-42d, No. 122
ΔE_f = 2.8 kcal/mol of atoms


No. 7
The following is a PBE calculation of Hg4Pb3Au4 after structural relaxation, from Alexandria via LeMat-Bulk.

Cell and atoms, written as POSCAR:
```
Hg4Pb3Au4
1.0
-1.907 4.170 8.532
1.907 -4.170 8.532
1.907 4.170 -8.532
Hg Pb Au
4 3 4
Direct
0.023 0.837 0.186
0.349 0.163 0.186
0.651 0.837 0.814
0.977 0.163 0.814
0.000 0.500 0.500
0.397 0.397 0.000
0.603 0.603 0.000
0.255 0.755 0.500
0.289 0.000 0.289
0.711 0.000 0.711
0.745 0.245 0.500
```

Calculated volume = 24.674 Å³/atom
SG = Immm, No. 71
ΔE_f = 0.0 kcal/mol of atoms


No. 8
The following is a PBE calculation of ZrCuNi after structural relaxation, from Alexandria via LeMat-Bulk.

Cell and atoms, written as POSCAR:
```
ZrCuNi
1.0
4.968 0.000 0.000
1.573 6.141 0.000
1.571 1.954 5.959
Zr Cu Ni
4 4 4
Direct
0.000 0.000 0.000
0.105 0.413 0.197
0.326 0.653 0.714
0.514 0.702 0.206
0.250 0.284 0.613
0.617 0.126 0.332
0.713 0.897 0.737
0.746 0.304 0.594
0.135 0.995 0.409
0.451 0.165 0.976
0.814 0.461 0.893
0.894 0.685 0.448
```

Calculated volume = 15.150 Å³/atom
E above lowest polymorph = 0.29 eV per formula unit
SG = P1, No. 1
ΔE_f = -4.4 kcal/mol of atoms


Question: Which of these has the highest calculated volume?
Answer: Rb2Na6Hg9


Question: Look up the calculated volume of the seventh one.
Answer: 24.674 Å³/atom


Copy entry 2 word for word.
The following is a PBE calculation of FeBiSeBr2 after structural relaxation, from Alexandria via LeMat-Bulk.

Cell and atoms, written as POSCAR:
```
FeBiSeBr2
1.0
4.857 0.000 0.000
0.000 4.857 0.000
0.000 0.000 4.848
Fe Bi Se Br
1 1 1 2
Direct
0.000 0.000 0.000
0.500 0.500 0.500
0.000 0.000 0.500
0.000 0.500 0.000
0.500 0.000 0.000
```

Calculated volume = 22.870 Å³/atom
E above lowest polymorph = 0.00 eV per formula unit
SG = P4/mmm, No. 123
Raw formation energy = 169 meV per atom